Entry 1:
Mg4CuSe2 | PBE-GGA | optimized geometry

Geometry as POSCAR:
```
Mg4CuSe2
1.0
-3.7320 3.7320 3.9559
3.7320 -3.7320 3.9559
3.7320 3.7320 -3.9559
Mg Cu Se
4 1 2
Direct
0.0000 0.2811 0.2811
0.0000 0.7189 0.7189
0.2811 0.0000 0.2811
0.7189 0.0000 0.7189
0.5000 0.5000 0.0000
0.2500 0.7500 0.5000
0.7500 0.2500 0.5000
```

## Properties
Offset from the most stable computed form ... 600 meV per atom

=====

Entry 2:
Mg3Cu3Se | PBE-GGA | optimized geometry

Geometry as POSCAR:
```
Mg3Cu3Se
1.0
9.7764 0.0000 0.0000
-4.8882 8.4666 0.0000
0.0000 0.0000 4.1060
Mg Cu Se
6 6 2
Direct
0.1852 0.3715 0.2500
0.1863 0.8148 0.2500
0.3715 0.1863 0.7500
0.6285 0.8137 0.2500
0.8137 0.1852 0.7500
0.8148 0.6285 0.7500
0.0854 0.1715 0.7500
0.0861 0.9146 0.7500
0.1715 0.0861 0.2500
0.8285 0.9139 0.7500
0.9139 0.0854 0.2500
0.9146 0.8285 0.2500
0.3333 0.6667 0.2500
0.6667 0.3333 0.7500
```

## Properties
Offset from the most stable computed form ... 111 meV per atom

=====

Entry 3:
MgCuSe | PBE-GGA | optimized geometry

Geometry as POSCAR:
```
MgCuSe
1.0
4.3694 0.0000 0.0000
-2.1847 3.7840 0.0000
0.0000 0.0000 6.7016
Mg Cu Se
2 2 2
Direct
0.0000 0.0000 0.0000
0.0000 0.0000 0.5000
0.3333 0.6667 0.2500
0.6667 0.3333 0.7500
0.3333 0.6667 0.7500
0.6667 0.3333 0.2500
```

## Properties
Offset from the most stable computed form ... 304 meV per atom

=====

Entry 4:
MgCuSe4 | PBE-GGA | optimized geometry

Geometry as POSCAR:
```
MgCuSe4
1.0
0.0000 4.0270 4.0270
4.0270 0.0000 4.0270
4.0270 4.0270 0.0000
Mg Cu Se
1 1 4
Direct
0.0000 0.0000 0.0000
0.2500 0.2500 0.2500
0.1263 0.6246 0.6246
0.6246 0.1263 0.6246
0.6246 0.6246 0.1263
0.6246 0.6246 0.6246
```

## Properties
Offset from the most stable computed form ... 620 meV per atom

=====

no.,DOS at the Fermi energy (states/eV/atom)
1,0.38
2,0.35
3,0.43
4,0.11